{"formula": "SrBePt2", "functional": "PBE", "state": "optimized geometry", "lattice_angstrom": [[-0.775, 2.802, 3.041], [1.772, -0.465, 3.788], [4.551, 3.702, 0.676]], "species": ["Sr", "Pt", "Pt", "Be"], "frac_coords": [[0.250, 0.250, 0.250], [0.051, 0.051, 0.847], [0.449, 0.449, 0.653], [0.750, 0.750, 0.750]], "dos_at_fermi_per_ev_fu": 2.4, "formation_enthalpy_0k_mev_per_atom": -616.6, "sg": "C2/m (12)", "dft_energy_ev_per_atom": -4.99}

=====

{"formula": "MgTe2H", "functional": "PBE", "state": "optimized geometry", "lattice_angstrom": [[-5.377, -4.432, 6.707], [-2.778, -6.416, 6.682], [-2.744, -3.700, 8.504]], "species": ["H", "Mg", "Te", "Te"], "frac_coords": [[0.500, 0.500, 0.500], [0.000, 0.000, 0.000], [0.894, 0.894, 0.894], [0.106, 0.106, 0.106]], "dos_at_fermi_per_ev_fu": 3.2, "sg": "R-3m (166)", "dft_energy_ev_per_atom": -2.31}

=====

{"formula": "IrSeBr2", "functional": "PBE", "state": "optimized geometry", "lattice_angstrom": [[-1.562, -0.483, 4.168], [2.614, -2.518, -2.621], [7.369, 4.261, 3.256]], "species": ["Br", "Br", "Ir", "Se"], "frac_coords": [[0.000, 0.000, 0.961], [0.500, 0.500, 0.326], [0.000, 0.000, 0.525], [0.500, 0.500, 0.688]], "dos_at_fermi_per_ev_fu": 2.3, "sg": "Cmm2 (35)", "dft_energy_ev_per_atom": -3.64}